# 1
First-principles (PBE) data for a relaxed structure of Dy3Er4Te2Ir2, as listed in OQMD via LeMat-Bulk.

a = 9.3525 Å, b = 9.3525 Å, c = 9.3525 Å
α = 155.81°, β = 66.28°, γ = 119.34°
Element x y z (fractional)
Dy 0.6825 0.6825 0.0000
Dy 0.3699 0.0544 0.3155
Dy 0.7390 0.0544 0.6845
Er 0.3965 0.2648 0.1317
Er 0.7675 0.4138 0.3537
Er 0.0601 0.4138 0.6463
Er 0.1331 0.2648 0.8683
Ir 0.9921 0.7543 0.2378
Ir 0.5165 0.7543 0.7622
Te 0.0195 0.0195 0.0000
Te 0.4180 0.9180 0.5000

Summary:
- M_tot: 0.0 μB/cell
- Relative energy among the computed polymorphs: 0.0095 eV/atom
- Calculated total energy: -66.19 eV for the cell shown

# 2
First-principles (PBE) data for a relaxed structure of Na2DyLuO4, as listed in OQMD via LeMat-Bulk.

a = 13.4648 Å, b = 13.4648 Å, c = 3.1098 Å
α = 92.16°, β = 92.16°, γ = 154.42°
Element x y z (fractional)
Dy 0.6112 0.3887 0.5000
Dy 0.3887 0.6112 0.5000
Lu 0.7420 0.2581 0.5002
Lu 0.2581 0.7420 0.5002
Na 0.8569 0.1431 0.4999
Na 0.1431 0.8569 0.4999
Na 0.9511 0.0488 0.5000
Na 0.0488 0.9511 0.5000
O 0.8276 0.6542 0.0533
O 0.6542 0.8276 0.0533
O 0.9398 0.5331 0.1922
O 0.5331 0.9398 0.1922
O 0.4669 0.0603 0.8077
O 0.0603 0.4669 0.8077
O 0.3457 0.1724 0.9468
O 0.1724 0.3457 0.9468

Summary:
- M_tot: 0.0 μB/cell
- Relative energy among the computed polymorphs: 0.0139 eV/atom
- Calculated total energy: -100.64 eV for the cell shown

# 3
First-principles (PBE) data for a relaxed structure of LuTe3PbAu, as listed in OQMD via LeMat-Bulk.

a = 7.7150 Å, b = 7.7150 Å, c = 11.0954 Å
α = 90.00°, β = 90.00°, γ = 147.92°
Element x y z (fractional)
Au 0.0345 0.9655 0.2500
Au 0.9655 0.0345 0.7500
Lu 0.5000 0.5000 0.0000
Lu 0.5000 0.5000 0.5000
Pb 0.7255 0.2745 0.2500
Pb 0.2745 0.7255 0.7500
Te 0.1447 0.8553 0.0474
Te 0.4087 0.5913 0.2500
Te 0.1447 0.8553 0.4526
Te 0.8553 0.1447 0.5474
Te 0.5913 0.4087 0.7500
Te 0.8553 0.1447 0.9526

Summary:
- M_tot: 0.0 μB/cell
- Relative energy among the computed polymorphs: 0.0089 eV/atom
- Calculated total energy: -49.85 eV for the cell shown

# 4
First-principles (PBE) data for a relaxed structure of YTlNiPt, as listed in OQMD via LeMat-Bulk.

a = 4.7659 Å, b = 4.7659 Å, c = 4.7659 Å
α = 60.00°, β = 60.00°, γ = 60.00°
Element x y z (fractional)
Ni 0.7500 0.7500 0.7500
Pt 0.2500 0.2500 0.2500
Tl 0.0000 0.0000 0.0000
Y 0.5000 0.5000 0.5000

Summary:
- M_tot: 0.0 μB/cell
- Calculated total energy: -22.26 eV for the cell shown